1.
A plane-wave DFT calculation with PBE was carried out for TbPmFe10 after structural relaxation.

Results
E_form, eV per atom: -0.010

abc: 3.9467 5.0527 8.7231
angles: 90.00 90.00 90.00
Sites, in units of the cell vectors:
Tb (0.0000, 0.0000, 0.0000)
Pm (0.0000, 0.5000, 0.5000)
Fe (0.0000, 0.0000, 0.3312)
Fe (0.0000, 0.0000, 0.6688)
Fe (0.0000, 0.5000, 0.1641)
Fe (0.0000, 0.5000, 0.8359)
Fe (0.5000, 0.0000, 0.5000)
Fe (0.5000, 0.2487, 0.2473)
Fe (0.5000, 0.2487, 0.7527)
Fe (0.5000, 0.5000, 0.0000)
Fe (0.5000, 0.7513, 0.2473)
Fe (0.5000, 0.7513, 0.7527)

2.
A plane-wave DFT calculation with PBE was carried out for TbPm2Fe after structural relaxation.

Results
E_form, eV per atom: 0.605

abc: 3.4633 3.4633 32.8951
angles: 90.00 90.00 120.00
Sites, in units of the cell vectors:
Tb (0.0000, 0.0000, 0.0000)
Tb (0.3333, 0.6667, 0.6667)
Tb (0.6667, 0.3333, 0.3333)
Pm (0.0000, 0.0000, 0.4241)
Pm (0.0000, 0.0000, 0.5759)
Pm (0.3333, 0.6667, 0.0908)
Pm (0.3333, 0.6667, 0.2425)
Pm (0.6667, 0.3333, 0.7575)
Pm (0.6667, 0.3333, 0.9092)
Fe (0.0000, 0.0000, 0.5000)
Fe (0.3333, 0.6667, 0.1667)
Fe (0.6667, 0.3333, 0.8333)

3.
A plane-wave DFT calculation with PBE was carried out for Tb3PmFe after structural relaxation.

Results
E_form, eV per atom: 0.125

abc: 5.3088 5.3088 5.3088
angles: 90.00 90.00 90.00
Sites, in units of the cell vectors:
Tb (0.0000, 0.0000, 0.5000)
Tb (0.0000, 0.5000, 0.0000)
Tb (0.5000, 0.0000, 0.0000)
Pm (0.5000, 0.5000, 0.5000)
Fe (0.0000, 0.0000, 0.0000)

4.
A plane-wave DFT calculation with PBE was carried out for TbPmZnFe after structural relaxation.

Results
E_form, eV per atom: -0.030

abc: 7.0579 7.0579 7.0579
angles: 90.00 90.00 90.00
Sites, in units of the cell vectors:
Tb (0.0000, 0.0000, 0.0000)
Tb (0.0000, 0.5000, 0.5000)
Tb (0.5000, 0.0000, 0.5000)
Tb (0.5000, 0.5000, 0.0000)
Pm (0.0000, 0.0000, 0.5000)
Pm (0.0000, 0.5000, 0.0000)
Pm (0.5000, 0.0000, 0.0000)
Pm (0.5000, 0.5000, 0.5000)
Zn (0.2500, 0.2500, 0.2500)
Zn (0.2500, 0.7500, 0.7500)
Zn (0.7500, 0.2500, 0.7500)
Zn (0.7500, 0.7500, 0.2500)
Fe (0.2500, 0.2500, 0.7500)
Fe (0.2500, 0.7500, 0.2500)
Fe (0.7500, 0.2500, 0.2500)
Fe (0.7500, 0.7500, 0.7500)

5.
A plane-wave DFT calculation with PBE was carried out for PmFe4Tc after structural relaxation.

Results
E_form, eV per atom: 0.227

abc: 4.9946 4.9946 4.9946
angles: 60.00 60.00 60.00
Sites, in units of the cell vectors:
Pm (0.0000, 0.0000, 0.0000)
Fe (0.3766, 0.3766, 0.3766)
Fe (0.3766, 0.3766, 0.8701)
Fe (0.3766, 0.8701, 0.3766)
Fe (0.8701, 0.3766, 0.3766)
Tc (0.7500, 0.7500, 0.7500)

6.
A plane-wave DFT calculation with PBE was carried out for Pm3FeTe after structural relaxation.

Results
Excess energy over the best structure of this formula in the dataset, kJ per mole of atoms: 25.02
Formation energy without anion corrections, eV/atom: -0.277

abc: 5.2210 5.2210 5.2210
angles: 90.00 90.00 90.00
Sites, in units of the cell vectors:
Pm (0.0000, 0.0000, 0.5000)
Pm (0.0000, 0.5000, 0.0000)
Pm (0.5000, 0.0000, 0.0000)
Fe (0.0000, 0.0000, 0.0000)
Te (0.5000, 0.5000, 0.5000)

7.
A plane-wave DFT calculation with PBE was carried out for Pm3FeTe after structural relaxation.

Results
Excess energy over the best structure of this formula in the dataset, kJ per mole of atoms: 0.00
Formation energy without anion corrections, eV/atom: -0.536

abc: 8.3773 4.0328 8.7182
angles: 90.00 106.39 90.00
Sites, in units of the cell vectors:
Pm (0.0755, 0.2500, 0.2471)
Pm (0.3056, 0.2500, 0.9296)
Pm (0.3209, 0.7500, 0.5884)
Pm (0.6791, 0.2500, 0.4116)
Pm (0.6944, 0.7500, 0.0704)
Pm (0.9245, 0.7500, 0.7529)
Fe (0.0478, 0.2500, 0.5627)
Fe (0.9522, 0.7500, 0.4373)
Te (0.3844, 0.7500, 0.2320)
Te (0.6156, 0.2500, 0.7680)

8.
A plane-wave DFT calculation with PBE was carried out for PmFeTe after structural relaxation.

Results
Formation energy without anion corrections, eV/atom: -0.486

abc: 4.4415 4.5531 7.5857
angles: 90.00 106.95 90.00
Sites, in units of the cell vectors:
Pm (0.1093, 0.2500, 0.2186)
Pm (0.8907, 0.7500, 0.7814)
Fe (0.5000, 0.0000, 0.0000)
Fe (0.5000, 0.5000, 0.0000)
Te (0.3414, 0.2500, 0.6824)
Te (0.6586, 0.7500, 0.3176)

9.
A plane-wave DFT calculation with PBE was carried out for PmThFe4 after structural relaxation.

Results
E_form, eV per atom: -0.009

abc: 5.2311 5.2311 5.2311
angles: 60.00 60.00 60.00
Sites, in units of the cell vectors:
Pm (0.0000, 0.0000, 0.0000)
Th (0.7500, 0.7500, 0.7500)
Fe (0.3756, 0.3756, 0.3756)
Fe (0.3756, 0.3756, 0.8733)
Fe (0.3756, 0.8733, 0.3756)
Fe (0.8733, 0.3756, 0.3756)

10.
A plane-wave DFT calculation with PBE was carried out for PmThFe10 after structural relaxation.

Results
E_form, eV per atom: -0.017

abc: 3.9926 5.0787 8.7864
angles: 90.00 90.00 90.00
Sites, in units of the cell vectors:
Pm (0.0000, 0.0000, 0.0000)
Th (0.0000, 0.5000, 0.5000)
Fe (0.0000, 0.0000, 0.3340)
Fe (0.0000, 0.0000, 0.6660)
Fe (0.0000, 0.5000, 0.1672)
Fe (0.0000, 0.5000, 0.8328)
Fe (0.5000, 0.0000, 0.5000)
Fe (0.5000, 0.2501, 0.2496)
Fe (0.5000, 0.2501, 0.7504)
Fe (0.5000, 0.5000, 0.0000)
Fe (0.5000, 0.7499, 0.2496)
Fe (0.5000, 0.7499, 0.7504)

11.
A plane-wave DFT calculation with PBE was carried out for PmTh2Fe after structural relaxation.

Results
E_form, eV per atom: 0.207
Excess energy over the best structure of this formula in the dataset, kJ per mole of atoms: 24.50

abc: 3.7610 3.7610 30.1438
angles: 90.00 90.00 120.00
Sites, in units of the cell vectors:
Pm (0.0000, 0.0000, 0.0000)
Pm (0.3333, 0.6667, 0.6667)
Pm (0.6667, 0.3333, 0.3333)
Th (0.0000, 0.0000, 0.1151)
Th (0.0000, 0.0000, 0.8849)
Th (0.3333, 0.6667, 0.5516)
Th (0.3333, 0.6667, 0.7817)
Th (0.6667, 0.3333, 0.2183)
Th (0.6667, 0.3333, 0.4484)
Fe (0.0000, 0.0000, 0.5000)
Fe (0.3333, 0.6667, 0.1667)
Fe (0.6667, 0.3333, 0.8333)

12.
A plane-wave DFT calculation with PBE was carried out for PmTh2Fe after structural relaxation.

Results
E_form, eV per atom: -0.043
Excess energy over the best structure of this formula in the dataset, kJ per mole of atoms: 0.32

abc: 3.7062 11.9294 9.7428
angles: 90.00 90.00 90.00
Sites, in units of the cell vectors:
Pm (0.0000, 0.0874, 0.2500)
Pm (0.0000, 0.9126, 0.7500)
Pm (0.5000, 0.4126, 0.7500)
Pm (0.5000, 0.5874, 0.2500)
Th (0.0000, 0.3604, 0.0701)
Th (0.0000, 0.3604, 0.4299)
Th (0.0000, 0.6396, 0.5701)
Th (0.0000, 0.6396, 0.9299)
Th (0.5000, 0.1396, 0.5701)
Th (0.5000, 0.1396, 0.9299)
Th (0.5000, 0.8604, 0.0701)
Th (0.5000, 0.8604, 0.4299)
Fe (0.0000, 0.1957, 0.7500)
Fe (0.0000, 0.8043, 0.2500)
Fe (0.5000, 0.3043, 0.2500)
Fe (0.5000, 0.6957, 0.7500)

Number 1: density 8.2 g/cm³. Number 2: density 7.4 g/cm³. Number 3: density 7.5 g/cm³. Number 4: density 8.0 g/cm³. Number 5: density 8.8 g/cm³. Number 6: density 7.2 g/cm³. Number 7: density 7.3 g/cm³. Number 8: density 7.4 g/cm³. Number 9: density 9.9 g/cm³. Number 10: density 8.7 g/cm³. Number 11: density 9.0 g/cm³. Number 12: density 10.3 g/cm³.